No. 1
DFT (PBE-GGA) results for a relaxed structure of NaCd2InRh.

a b c (Å): 5.244 5.244 5.100
angles (deg): 90.00 90.00 90.00
Space group P4/mmm (No. 123)
Inequivalent atoms, fractional coordinates:
1 Na 0.000 0.000 0.000 (multiplicity 1)
2 Cd 0.000 0.500 0.500 (multiplicity 2)
3 In 0.500 0.500 0.000 (multiplicity 1)
4 Rh 0.500 0.500 0.500 (multiplicity 1)

Properties
Crystal system ... tetragonal
ΔH_f (0 K) ... -0.0961 eV per atom

=====

No. 2
DFT (PBE-GGA) results for a relaxed structure of CeTh2Cd.

a b c (Å): 7.700 7.700 7.700
angles (deg): 90.00 90.00 90.00
Space group Fm-3m (No. 225)
Inequivalent atoms, fractional coordinates:
1 Ce 0.000 0.000 0.000 (multiplicity 4)
2 Th 0.250 0.250 0.250 (multiplicity 8)
3 Cd 0.000 0.000 0.500 (multiplicity 4)

Properties
Crystal system ... cubic
ΔH_f (0 K) ... 0.1102 eV per atom

=====

No. 3
DFT (PBE-GGA) results for a relaxed structure of NdLuOsPd.

a b c (Å): 6.947 6.947 6.947
angles (deg): 90.00 90.00 90.00
Space group F-43m (No. 216)
Inequivalent atoms, fractional coordinates:
1 Nd 0.000 0.000 0.000 (multiplicity 4)
2 Lu 0.000 0.000 0.500 (multiplicity 4)
3 Os 0.250 0.250 0.750 (multiplicity 4)
4 Pd 0.250 0.250 0.250 (multiplicity 4)

Properties
Crystal system ... cubic
ΔH_f (0 K) ... -0.4539 eV per atom

=====

No. 4
DFT (PBE-GGA) results for a relaxed structure of Ir2PbAu.

a b c (Å): 9.130 3.107 5.168
angles (deg): 90.00 102.11 90.00
Space group C2/m (No. 12)
Inequivalent atoms, fractional coordinates:
1 Ir 0.249 0.000 0.272 (multiplicity 4)
2 Pb 0.000 0.500 0.000 (multiplicity 2)
3 Au 0.000 0.000 0.500 (multiplicity 2)

Properties
Crystal system ... monoclinic
ΔH_f (0 K) ... 0.4999 eV per atom

=====

No. 5
DFT (PBE-GGA) results for a relaxed structure of Mg4CrAg.

a b c (Å): 7.951 7.951 7.951
angles (deg): 90.00 90.00 90.00
Space group F-43m (No. 216)
Inequivalent atoms, fractional coordinates:
1 Mg 0.125 0.125 0.125 (multiplicity 16)
2 Cr 0.000 0.000 0.500 (multiplicity 4)
3 Ag 0.250 0.250 0.750 (multiplicity 4)

Properties
Crystal system ... cubic
ΔH_f (0 K) ... 0.3312 eV per atom

=====

No. 6
DFT (PBE-GGA) results for a relaxed structure of Li4Rh.

a b c (Å): 4.683 4.683 4.683
angles (deg): 90.00 90.00 90.00
Space group Pm-3m (No. 221)
Inequivalent atoms, fractional coordinates:
1 Li 0.000 0.000 0.000 (multiplicity 1)
2 Li 0.000 0.500 0.500 (multiplicity 3)
3 Rh 0.500 0.500 0.500 (multiplicity 1)

Properties
Crystal system ... cubic
ΔH_f (0 K) ... 0.2056 eV per atom

=====

No. 7
DFT (PBE-GGA) results for a relaxed structure of Y2RuBr.

a b c (Å): 7.095 7.095 7.095
angles (deg): 90.00 90.00 90.00
Space group F-43m (No. 216)
Inequivalent atoms, fractional coordinates:
1 Y 0.000 0.000 0.000 (multiplicity 4)
2 Y 0.250 0.250 0.250 (multiplicity 4)
3 Ru 0.250 0.250 0.750 (multiplicity 4)
4 Br 0.000 0.000 0.500 (multiplicity 4)

Properties
Crystal system ... cubic
Uncorrected formation energy ... 0.283 eV per atom

=====

No. 8
DFT (PBE-GGA) results for a relaxed structure of MgTlIn2.

a b c (Å): 4.666 4.718 9.580
angles (deg): 90.00 90.00 90.00
Space group Cmmm (No. 65)
Inequivalent atoms, fractional coordinates:
1 Mg 0.000 0.000 0.000 (multiplicity 2)
2 Tl 0.000 0.000 0.500 (multiplicity 2)
3 In 0.000 0.500 0.223 (multiplicity 4)

Properties
Crystal system ... orthorhombic
ΔH_f (0 K) ... -0.0365 eV per atom

=====

No. 9
DFT (PBE-GGA) results for a relaxed structure of Ba6MgNb2IrCl2O12.

a b c (Å): 5.9725 5.9725 15.8586
angles (deg): 90.00 90.00 120.00
Space group P3m1 (No. 156)
Inequivalent atoms, fractional coordinates:
1 Ba 0.0000 0.0000 0.0000 (multiplicity 1)
2 Ba 0.0000 0.0000 0.2383 (multiplicity 1)
3 Ba 0.0000 0.0000 0.6100 (multiplicity 1)
4 Ba 0.6667 0.3333 0.1490 (multiplicity 1)
5 Ba 0.6667 0.3333 0.4116 (multiplicity 1)
6 Ba 0.6667 0.3333 0.7343 (multiplicity 1)
7 Mg 0.0000 0.0000 0.4253 (multiplicity 1)
8 Nb 0.3333 0.6667 0.1826 (multiplicity 1)
9 Nb 0.3333 0.6667 0.5594 (multiplicity 1)
10 Ir 0.3333 0.6667 0.3663 (multiplicity 1)
11 Cl 0.0000 0.0000 0.7986 (multiplicity 1)
12 Cl 0.6667 0.3333 0.9448 (multiplicity 1)
13 O 0.0135 0.5068 0.6193 (multiplicity 3)
14 O 0.0308 0.5154 0.2769 (multiplicity 3)
15 O 0.1719 0.3439 0.1185 (multiplicity 3)
16 O 0.1805 0.3609 0.4605 (multiplicity 3)

Properties
Crystal system ... trigonal
Uncorrected formation energy ... -2.329 eV per atom

=====

No. 10
DFT (PBE-GGA) results for a relaxed structure of Ce3As3H2.

a b c (Å): 4.031 10.772 14.291
angles (deg): 90.00 90.00 90.00
Space group Cmcm (No. 63)
Inequivalent atoms, fractional coordinates:
1 Ce 0.000 0.138 0.055 (multiplicity 8)
2 Ce 0.000 0.155 0.750 (multiplicity 4)
3 As 0.000 0.137 0.250 (multiplicity 4)
4 As 0.000 0.423 0.103 (multiplicity 8)
5 H 0.000 0.266 0.588 (multiplicity 8)

Properties
Crystal system ... orthorhombic
Energy ... -5.769 eV per atom

=====

No. 11
DFT (PBE-GGA) results for a relaxed structure of Tb4Nd3Rh4.

a b c (Å): 3.861 8.967 15.969
angles (deg): 90.00 90.00 90.00
Space group Immm (No. 71)
Inequivalent atoms, fractional coordinates:
1 Tb 0.000 0.189 0.167 (multiplicity 8)
2 Nd 0.000 0.000 0.399 (multiplicity 4)
3 Nd 0.000 0.500 0.500 (multiplicity 2)
4 Rh 0.000 0.274 0.000 (multiplicity 4)
5 Rh 0.000 0.500 0.255 (multiplicity 4)

Properties
Crystal system ... orthorhombic
ΔH_f (0 K) ... -0.5724 eV per atom

=====

No. 12
DFT (PBE-GGA) results for a relaxed structure of Tm6NpS8.

a b c (Å): 10.870 10.870 10.870
angles (deg): 90.00 90.00 90.00
Space group Fm-3m (No. 225)
Inequivalent atoms, fractional coordinates:
1 Tm 0.000 0.250 0.250 (multiplicity 24)
2 Np 0.000 0.000 0.000 (multiplicity 4)
3 S 0.000 0.000 0.255 (multiplicity 24)
4 S 0.250 0.250 0.250 (multiplicity 8)

Properties
Crystal system ... cubic
Uncorrected formation energy ... -1.892 eV per atom

=====

No. 13
DFT (PBE-GGA) results for a relaxed structure of ZrW2Cl.

a b c (Å): 5.200 10.111 2.771
angles (deg): 90.00 90.00 90.00
Space group Cmmm (No. 65)
Inequivalent atoms, fractional coordinates:
1 Zr 0.000 0.000 0.000 (multiplicity 2)
2 W 0.250 0.250 0.500 (multiplicity 4)
3 Cl 0.000 0.500 0.000 (multiplicity 2)

Properties
Crystal system ... orthorhombic
Uncorrected formation energy ... 0.743 eV per atom

=====

Summary of total magnetic moment in μB per formula unit
0.00, 0.19, 0.00, 0.00, 4.71, 0.00, 0.00, 0.00, 0.89, 1.18, 0.00, 5.05, 0.00
(order as listed above)